Entry 1:
DFT (SCAN) results for a crystal of CuSbBr2 relaxed with PBEsol.

Results
* relative energy among the computed polymorphs: 0 meV/atom
* density of states at the Fermi level: 0.175 states/eV/atom
* uncorrected formation energy: 0.008 eV/atom
* total DFT energy (no corrections): -22.836 eV/atom

abc: 3.368 3.368 7.989
angles: 90.00 90.00 90.00
Element x y z (fractional)
Cu  0.000  0.000  0.000
Sb  0.500  0.500  0.195
Br  0.000  0.000  0.452
Br  0.500  0.500  0.825

=====

Entry 2:
DFT (SCAN) results for a crystal of CuSbBr2 relaxed with PBEsol.

Results
* relative energy among the computed polymorphs: 440 meV/atom
* density of states at the Fermi level: 0.569 states/eV/atom
* uncorrected formation energy: 0.448 eV/atom
* total DFT energy (no corrections): -22.396 eV/atom

abc: 5.054 5.054 3.446
angles: 90.00 90.00 90.57
Element x y z (fractional)
Cu  0.000  0.000  0.000
Sb  0.500  0.500  0.000
Br  0.000  0.500  0.500
Br  0.500  0.000  0.500

=====

Entry 3:
DFT (SCAN) results for a crystal of ScCuSb2Br relaxed with PBEsol.

Results
* density of states at the Fermi level: 0.882 states/eV/atom
* uncorrected formation energy: 0.313 eV/atom
* total DFT energy (no corrections): -24.371 eV/atom

abc: 5.477 5.477 4.982
angles: 90.00 90.00 90.00
Element x y z (fractional)
Sc  0.000  0.000  0.000
Cu  0.500  0.500  0.500
Sb  0.000  0.500  0.000
Sb  0.500  0.000  0.000
Br  0.000  0.000  0.500